No. 1
Below is an optimized crystal structure of CaMnGaRe2, with properties calculated at the PBEsol level.

Summary:
The calculation puts the magnetization at 2.80 μB per formula unit. Its raw total energy is -27.83 eV per formula unit. As for the energy relative to the elements: 2.814 eV per atom. The value obtained for the mass density is 8.74 g/cm³.

Lattice parameters (Å, degrees): 4.600 4.600 4.825 90.00 90.00 90.00
Space group P4/mmm (No. 123)
Asymmetric unit:
Ca: 0.000 0.000 0.000 (multiplicity 1)
Mn: 0.500 0.500 0.500 (multiplicity 1)
Ga: 0.000 0.000 0.500 (multiplicity 1)
Re: 0.000 0.500 0.000 (multiplicity 2)

No. 2
Below is an optimized crystal structure of Ca3GaMo, with properties calculated at the PBEsol level.

Summary:
The calculation puts the magnetization at 4.68 μB per formula unit. Its raw total energy is -17.10 eV per formula unit. As for the energy relative to the elements: 0.882 eV per atom. The value obtained for the mass density is 2.72 g/cm³.

Lattice parameters (Å, degrees): 5.588 5.588 5.588 90.00 90.00 90.00
Space group Pm-3m (No. 221)
Asymmetric unit:
Ca: 0.000 0.000 0.500 (multiplicity 3)
Ga: 0.000 0.000 0.000 (multiplicity 1)
Mo: 0.500 0.500 0.500 (multiplicity 1)

No. 3
Below is an optimized crystal structure of CaGaN, with properties calculated at the PBEsol level.

Summary:
The calculation puts the magnetization at 0.00 μB per formula unit. Its uncorrected formation energy is -0.829 eV per atom. Its raw total energy is -16.49 eV per formula unit. The value obtained for the mass density is 4.40 g/cm³.

Lattice parameters (Å, degrees): 3.539 3.539 7.464 90.00 90.00 90.00
Space group P4/nmm (No. 129, origin choice 2)
Asymmetric unit:
Ca: 0.250 0.250 0.149 (multiplicity 2)
Ga: 0.250 0.250 0.581 (multiplicity 2)
N: 0.250 0.250 0.828 (multiplicity 2)

No. 4
Below is an optimized crystal structure of CaGaN2, with properties calculated at the PBEsol level.

Summary:
The calculation puts the magnetization at 1.39 μB per formula unit. Its uncorrected formation energy is 0.471 eV per atom. Its raw total energy is -20.64 eV per formula unit. The value obtained for the mass density is 3.93 g/cm³.

Lattice parameters (Å, degrees): 3.2790 3.2790 18.7812 90.00 90.00 120.00
Space group R-3m (No. 166, hexagonal axes)
Asymmetric unit:
Ca: 0.0000 0.0000 0.0000 (multiplicity 3)
Ga: 0.0000 0.0000 0.5000 (multiplicity 3)
N: 0.0000 0.0000 0.1162 (multiplicity 6)

No. 5
Below is an optimized crystal structure of CaGaSe2N, with properties calculated at the PBEsol level.

Summary:
The calculation puts the magnetization at 3.58 μB per formula unit. Its uncorrected formation energy is 0.587 eV per atom. Its raw total energy is -18.77 eV per formula unit. The value obtained for the mass density is 3.46 g/cm³.

Lattice parameters (Å, degrees): 5.456 5.456 4.542 90.00 90.00 90.00
Space group P4/mmm (No. 123)
Asymmetric unit:
Ca: 0.000 0.000 0.000 (multiplicity 1)
Ga: 0.500 0.500 0.500 (multiplicity 1)
Se: 0.000 0.500 0.000 (multiplicity 2)
N: 0.000 0.000 0.500 (multiplicity 1)

No. 6
Below is an optimized crystal structure of Na3CaGa, with properties calculated at the PBEsol level.

Summary:
The calculation puts the magnetization at 0.00 μB per formula unit. Its raw total energy is -5.71 eV per formula unit. As for the energy relative to the elements: 0.792 eV per atom. The value obtained for the mass density is 1.23 g/cm³.

Lattice parameters (Å, degrees): 6.218 6.218 6.218 90.00 90.00 90.00
Space group Pm-3m (No. 221)
Asymmetric unit:
Na: 0.000 0.000 0.500 (multiplicity 3)
Ca: 0.000 0.000 0.000 (multiplicity 1)
Ga: 0.500 0.500 0.500 (multiplicity 1)

No. 7
Below is an optimized crystal structure of Ca4NbGaO8, with properties calculated at the PBEsol level.

Summary:
The calculation puts the magnetization at 0.00 μB per formula unit. Its uncorrected formation energy is -2.779 eV per atom. Its raw total energy is -103.59 eV per formula unit. The value obtained for the mass density is 4.00 g/cm³.

Lattice parameters (Å, degrees): 11.187 5.590 14.104 90.00 121.84 90.00
Space group P2_1/c (No. 14)
Asymmetric unit:
Ca: 0.061 0.245 0.091 (multiplicity 4)
Ca: 0.253 0.728 0.886 (multiplicity 4)
Ca: 0.289 0.729 0.642 (multiplicity 4)
Ca: 0.390 0.228 0.572 (multiplicity 4)
Nb: 0.078 0.246 0.368 (multiplicity 4)
Ga: 0.389 0.212 0.829 (multiplicity 4)
O: 0.006 0.081 0.721 (multiplicity 4)
O: 0.083 0.671 0.627 (multiplicity 4)
O: 0.146 0.022 0.495 (multiplicity 4)
O: 0.175 0.512 0.466 (multiplicity 4)
O: 0.268 0.182 0.376 (multiplicity 4)
O: 0.314 0.175 0.187 (multiplicity 4)
O: 0.388 0.622 0.325 (multiplicity 4)
O: 0.431 0.677 0.074 (multiplicity 4)

No. 8
Below is an optimized crystal structure of Ca2TiNbGa, with properties calculated at the PBEsol level.

Summary:
The calculation puts the magnetization at 1.44 μB per formula unit. Its raw total energy is -20.35 eV per formula unit. As for the energy relative to the elements: 1.279 eV per atom. The value obtained for the mass density is 3.56 g/cm³.

Lattice parameters (Å, degrees): 5.292 5.292 4.842 90.00 90.00 90.00
Space group P4/mmm (No. 123)
Asymmetric unit:
Ca: 0.000 0.500 0.000 (multiplicity 2)
Ti: 0.000 0.000 0.000 (multiplicity 1)
Nb: 0.500 0.500 0.500 (multiplicity 1)
Ga: 0.000 0.000 0.500 (multiplicity 1)